Entry from Alexandria: an optimized crystal structure of AcZn3Ir (GGA-PBE).

Summary:
Its energy relative to the elements is -382 meV/atom. The value obtained for the total energy is -3.740 eV/atom. The calculation puts the density of states at the Fermi level at 4.2 states/eV per cell. Its symmetry is Cmcm.

Cell and atoms, written as extended XYZ:
```
10
Lattice="3.238 -5.372 0.000 3.238 5.372 0.000 0.000 0.000 5.871" Properties=species:S:1:pos:R:3 pbc="T T T"
Ac 3.238 2.843 4.403
Ac 3.238 -2.843 1.468
Zn 3.238 4.235 1.468
Zn 1.865 0.000 0.000
Zn 1.865 0.000 2.935
Zn 4.610 0.000 0.000
Zn 4.610 0.000 2.935
Zn 3.238 -4.235 4.403
Ir 3.238 1.661 1.468
Ir 3.238 -1.661 4.403
```